First-principles (PBE-GGA) data for a relaxed structure of TaRe2Ru, as listed in Alexandria via LeMat-Bulk.

Cell lengths 4.861, 4.861, 2.815 Å; angles 90.00, 90.00, 111.18 degrees
Positions (direct):
Re1 0.000 0.000 0.000
Re2 0.500 0.500 0.000
Ru1 0.500 0.000 0.500
Ta1 0.000 0.500 0.500

Output
**Space group**: Cmmm, No. 65
**Polymorph energy (0 for the lowest one)**: 0.088 eV per atom
**Total magnetization**: 0.000 μB per atom
**Energy of formation from the pure elements**: 0.057 eV per atom

=====

First-principles (PBE-GGA) data for a relaxed structure of TaRe2Ru, as listed in Alexandria via LeMat-Bulk.

Cell lengths 5.238, 5.238, 5.238 Å; angles 144.79, 130.40, 62.28 degrees
Positions (direct):
Re1 0.011 0.011 0.000
Re2 0.489 0.489 0.000
Ru1 0.750 0.250 0.500
Ta1 0.250 0.750 0.500

Output
**Space group**: Immm, No. 71
**Polymorph energy (0 for the lowest one)**: 0.054 eV per atom
**Total magnetization**: 0.000 μB per atom
**Energy of formation from the pure elements**: 0.023 eV per atom

=====

First-principles (PBE-GGA) data for a relaxed structure of TaRe2Ru, as listed in Alexandria via LeMat-Bulk.

Cell lengths 4.024, 3.922, 3.922 Å; angles 90.00, 90.00, 90.00 degrees
Positions (direct):
Re1 0.000 0.000 0.000
Re2 0.000 0.500 0.500
Ru1 0.500 0.500 0.000
Ta1 0.500 0.000 0.500

Output
**Space group**: P4/mmm, No. 123
**Polymorph energy (0 for the lowest one)**: 0.008 eV per atom
**Total magnetization**: 0.000 μB per atom
**Energy of formation from the pure elements**: -0.023 eV per atom

=====

First-principles (PBE-GGA) data for a relaxed structure of TaRe2Ru, as listed in Alexandria via LeMat-Bulk.

Cell lengths 4.818, 4.818, 4.818 Å; angles 131.18, 131.18, 71.53 degrees
Positions (direct):
Re1 0.000 0.000 0.000
Re2 0.250 0.750 0.500
Ru1 0.500 0.500 0.000
Ta1 0.750 0.250 0.500

Output
**Space group**: I-4m2, No. 119
**Polymorph energy (0 for the lowest one)**: 0.033 eV per atom
**Total magnetization**: 0.000 μB per atom
**Energy of formation from the pure elements**: 0.002 eV per atom

=====

First-principles (PBE-GGA) data for a relaxed structure of TaRe2Ru, as listed in Alexandria via LeMat-Bulk.

Cell lengths 9.427, 9.427, 9.427 Å; angles 17.00, 17.00, 17.00 degrees
Positions (direct):
Re1 0.994 0.994 0.994
Re2 0.506 0.506 0.506
Ru1 0.250 0.250 0.250
Ta1 0.750 0.750 0.750

Output
**Space group**: R-3m, No. 166
**Polymorph energy (0 for the lowest one)**: 0.182 eV per atom
**Total magnetization**: 0.000 μB per atom
**Energy of formation from the pure elements**: 0.151 eV per atom

=====

First-principles (PBE-GGA) data for a relaxed structure of TaRe2Ru, as listed in Alexandria via LeMat-Bulk.

Cell lengths 5.210, 5.210, 5.210 Å; angles 145.18, 128.72, 63.48 degrees
Positions (direct):
Re1 0.005 0.005 0.000
Re2 0.758 0.258 0.500
Ru1 0.491 0.491 0.000
Ta1 0.246 0.746 0.500

Output
**Space group**: Imm2, No. 44
**Polymorph energy (0 for the lowest one)**: 0.063 eV per atom
**Total magnetization**: 0.000 μB per atom
**Energy of formation from the pure elements**: 0.032 eV per atom

=====

What did the second record say?
First-principles (PBE-GGA) data for a relaxed structure of TaRe2Ru, as listed in Alexandria via LeMat-Bulk.

Cell lengths 5.238, 5.238, 5.238 Å; angles 144.79, 130.40, 62.28 degrees
Positions (direct):
Re1 0.011 0.011 0.000
Re2 0.489 0.489 0.000
Ru1 0.750 0.250 0.500
Ta1 0.250 0.750 0.500

Output
**Space group**: Immm, No. 71
**Polymorph energy (0 for the lowest one)**: 0.054 eV per atom
**Total magnetization**: 0.000 μB per atom
**Energy of formation from the pure elements**: 0.023 eV per atom

=====

- What is the polymorph energy (0 for the lowest one) in the fifth record?
  0.182 eV per atom

=====

Copy entry 6 word for word.
First-principles (PBE-GGA) data for a relaxed structure of TaRe2Ru, as listed in Alexandria via LeMat-Bulk.

Cell lengths 5.210, 5.210, 5.210 Å; angles 145.18, 128.72, 63.48 degrees
Positions (direct):
Re1 0.005 0.005 0.000
Re2 0.758 0.258 0.500
Ru1 0.491 0.491 0.000
Ta1 0.246 0.746 0.500

Output
**Space group**: Imm2, No. 44
**Polymorph energy (0 for the lowest one)**: 0.063 eV per atom
**Total magnetization**: 0.000 μB per atom
**Energy of formation from the pure elements**: 0.032 eV per atom